1.
# Er5Bi4Se, optimized geometry, DFT PBE
data_Er5Bi4Se
_chemical_formula_sum 'Er10 Bi8 Se2'
_symmetry_space_group_name_H-M 'I 4/m m m'
_symmetry_Int_Tables_number 139
_symmetry_space_group_name_Hall '-I 4 2'
_cell_length_a 4.382
_cell_length_b 4.382
_cell_length_c 30.845
_cell_angle_alpha 90.00
_cell_angle_beta 90.00
_cell_angle_gamma 90.00
loop_
_atom_site_label
_atom_site_type_symbol
_atom_site_fract_x
_atom_site_fract_y
_atom_site_fract_z
_atom_site_occupancy
Er1 Er 0.000 0.000 0.000 1
Er2 Er 0.000 0.000 0.201 1
Er3 Er 0.000 0.000 0.407 1
Bi1 Bi 0.000 0.000 0.099 1
Bi2 Bi 0.000 0.000 0.303 1
Se1 Se 0.000 0.000 0.500 1
# Crystal system = tetragonal
# Raw formation energy = -9.669 eV per formula unit

2.
# BaAcSn, optimized geometry, DFT PBE
data_BaAcSn
_chemical_formula_sum 'Ba4 Ac4 Sn4'
_symmetry_space_group_name_H-M 'F -4 3 m'
_symmetry_Int_Tables_number 216
_symmetry_space_group_name_Hall 'F -4 2 3'
_cell_length_a 8.157
_cell_length_b 8.157
_cell_length_c 8.157
_cell_angle_alpha 90.00
_cell_angle_beta 90.00
_cell_angle_gamma 90.00
loop_
_atom_site_label
_atom_site_type_symbol
_atom_site_fract_x
_atom_site_fract_y
_atom_site_fract_z
_atom_site_occupancy
Ba1 Ba 0.000 0.000 0.000 1
Ac1 Ac 0.000 0.000 0.500 1
Sn1 Sn 0.250 0.250 0.750 1
# Crystal system = cubic
# Energy above the most stable polymorph in this dataset = 125 meV/atom
# ΔH_f (0 K) = -0.407 eV/atom

3.
# Ti2GaPt5Rh, optimized geometry, DFT PBE
data_Ti2GaPt5Rh
_chemical_formula_sum 'Ti8 Ga4 Pt20 Rh4'
_symmetry_space_group_name_H-M 'I 4/m c m'
_symmetry_Int_Tables_number 140
_symmetry_space_group_name_Hall '-I 4 2c'
_cell_length_a 7.579
_cell_length_b 7.579
_cell_length_c 10.557
_cell_angle_alpha 90.00
_cell_angle_beta 90.00
_cell_angle_gamma 90.00
loop_
_atom_site_label
_atom_site_type_symbol
_atom_site_fract_x
_atom_site_fract_y
_atom_site_fract_z
_atom_site_occupancy
Ti1 Ti 0.110 0.390 0.000 1
Ga1 Ga 0.000 0.000 0.250 1
Pt1 Pt 0.000 0.000 0.000 1
Pt2 Pt 0.205 0.295 0.371 1
Rh1 Rh 0.000 0.500 0.250 1
# Crystal system = tetragonal
# ΔH_f (0 K) = -0.198 eV/atom

4.
# Ag2Mo2Pb, optimized geometry, DFT PBE
data_Ag2Mo2Pb
_chemical_formula_sum 'Ag4 Mo4 Pb2'
_symmetry_space_group_name_H-M 'P 4/m b m'
_symmetry_Int_Tables_number 127
_symmetry_space_group_name_Hall '-P 4 2ab'
_cell_length_a 7.108
_cell_length_b 7.108
_cell_length_c 3.975
_cell_angle_alpha 90.00
_cell_angle_beta 90.00
_cell_angle_gamma 90.00
loop_
_atom_site_label
_atom_site_type_symbol
_atom_site_fract_x
_atom_site_fract_y
_atom_site_fract_z
_atom_site_occupancy
Ag1 Ag 0.181 0.319 0.000 1
Mo1 Mo 0.111 0.611 0.500 1
Pb1 Pb 0.000 0.000 0.500 1
# Crystal system = tetragonal
# Energy above the most stable polymorph in this dataset = 0 meV/atom
# ΔH_f (0 K) = 0.673 eV/atom

5.
# ZnInMo2, optimized geometry, DFT PBE
data_ZnInMo2
_chemical_formula_sum 'Zn1 In1 Mo2'
_symmetry_space_group_name_H-M 'P 1 m 1'
_symmetry_Int_Tables_number 6
_symmetry_space_group_name_Hall 'P -2y'
_cell_length_a 2.836
_cell_length_b 4.478
_cell_length_c 5.379
_cell_angle_alpha 90.00
_cell_angle_beta 97.76
_cell_angle_gamma 90.00
loop_
_atom_site_label
_atom_site_type_symbol
_atom_site_fract_x
_atom_site_fract_y
_atom_site_fract_z
_atom_site_occupancy
Zn1 Zn 0.000 0.000 0.000 1
In1 In 0.914 0.500 0.273 1
Mo1 Mo 0.356 0.500 0.774 1
Mo2 Mo 0.517 0.000 0.541 1
# Crystal system = monoclinic
# Energy above the most stable polymorph in this dataset = 68 meV/atom
# ΔH_f (0 K) = 0.221 eV/atom

6.
# La3PmEr, optimized geometry, DFT PBE
data_La3PmEr
_chemical_formula_sum 'La12 Pm4 Er4'
_symmetry_space_group_name_H-M 'C m c m'
_symmetry_Int_Tables_number 63
_symmetry_space_group_name_Hall '-C 2c 2'
_cell_length_a 6.043
_cell_length_b 9.831
_cell_length_c 12.051
_cell_angle_alpha 90.00
_cell_angle_beta 90.00
_cell_angle_gamma 90.00
loop_
_atom_site_label
_atom_site_type_symbol
_atom_site_fract_x
_atom_site_fract_y
_atom_site_fract_z
_atom_site_occupancy
La1 La 0.000 0.053 0.250 1
La2 La 0.000 0.353 0.098 1
Pm1 Pm 0.000 0.000 0.000 1
Er1 Er 0.000 0.295 0.750 1
# Crystal system = orthorhombic
# Energy above the most stable polymorph in this dataset = 0 meV/atom
# ΔH_f (0 K) = 0.195 eV/atom

7.
# YBrO, optimized geometry, DFT PBE
data_YBrO
_chemical_formula_sum 'Y2 Br2 O2'
_symmetry_space_group_name_H-M 'P 1 21/m 1'
_symmetry_Int_Tables_number 11
_symmetry_space_group_name_Hall '-P 2yb'
_cell_length_a 5.717
_cell_length_b 3.927
_cell_length_c 6.723
_cell_angle_alpha 90.00
_cell_angle_beta 109.87
_cell_angle_gamma 90.00
loop_
_atom_site_label
_atom_site_type_symbol
_atom_site_fract_x
_atom_site_fract_y
_atom_site_fract_z
_atom_site_occupancy
Y1 Y 0.132 0.250 0.216 1
Br1 Br 0.289 0.750 0.614 1
O1 O 0.167 0.750 0.091 1
# Crystal system = monoclinic
# Raw formation energy = -8.205 eV per formula unit

8.
# HfZr2Hg4, optimized geometry, DFT PBE
data_HfZr2Hg4
_chemical_formula_sum 'Hf1 Zr2 Hg4'
_symmetry_space_group_name_H-M 'P -1'
_symmetry_Int_Tables_number 2
_symmetry_space_group_name_Hall '-P 1'
_cell_length_a 4.911
_cell_length_b 5.907
_cell_length_c 5.947
_cell_angle_alpha 100.15
_cell_angle_beta 90.09
_cell_angle_gamma 114.30
loop_
_atom_site_label
_atom_site_type_symbol
_atom_site_fract_x
_atom_site_fract_y
_atom_site_fract_z
_atom_site_occupancy
Hf1 Hf 0.000 0.000 0.000 1
Zr1 Zr 0.146 0.296 0.580 1
Hg1 Hg 0.276 0.551 0.139 1
Hg2 Hg 0.447 0.892 0.715 1
# Crystal system = triclinic
# ΔH_f (0 K) = -0.017 eV/atom

9.
# K2ZnBiAu, optimized geometry, DFT PBE
data_K2ZnBiAu
_chemical_formula_sum 'K2 Zn1 Bi1 Au1'
_symmetry_space_group_name_H-M 'P 4/m m m'
_symmetry_Int_Tables_number 123
_symmetry_space_group_name_Hall '-P 4 2'
_cell_length_a 6.858
_cell_length_b 6.858
_cell_length_c 5.426
_cell_angle_alpha 90.00
_cell_angle_beta 90.00
_cell_angle_gamma 90.00
loop_
_atom_site_label
_atom_site_type_symbol
_atom_site_fract_x
_atom_site_fract_y
_atom_site_fract_z
_atom_site_occupancy
K1 K 0.000 0.500 0.000 1
Zn1 Zn 0.000 0.000 0.500 1
Bi1 Bi 0.500 0.500 0.000 1
Au1 Au 0.500 0.500 0.500 1
# Crystal system = tetragonal
# ΔH_f (0 K) = 0.058 eV/atom

10.
# Tb2HSe, optimized geometry, DFT PBE
data_Tb2HSe
_chemical_formula_sum 'Tb6 H3 Se3'
_symmetry_space_group_name_H-M 'R 3 m'
_symmetry_Int_Tables_number 160
_symmetry_space_group_name_Hall 'R 3 -2"'
_cell_length_a 3.7739
_cell_length_b 3.7739
_cell_length_c 22.0844
_cell_angle_alpha 90.00
_cell_angle_beta 90.00
_cell_angle_gamma 120.00
loop_
_atom_site_label
_atom_site_type_symbol
_atom_site_fract_x
_atom_site_fract_y
_atom_site_fract_z
_atom_site_occupancy
Tb1 Tb 0.0000 0.0000 0.0000 1
Tb2 Tb 0.0000 0.0000 0.1630 1
H1 H 0.0000 0.0000 0.8120 1
Se1 Se 0.0000 0.0000 0.5814 1
# Crystal system = trigonal
# Energy above the most stable polymorph in this dataset = 104 meV/atom

Number 1: total energy -103.0 eV per cell. Number 2: total energy -45.0 eV per cell. Number 3: total energy -232.6 eV per cell. Number 4: total energy -55.4 eV per cell. Number 5: total energy -24.8 eV per cell. Number 6: total energy -92.5 eV per cell. Number 7: total energy -42.6 eV per cell. Number 8: total energy -28.4 eV per cell. Number 9: total energy -10.3 eV per cell. Number 10: total energy -58.8 eV per cell.